Entry 1:
This record from the Alexandria database describes a crystal of LaH3Pd relaxed with PBEsol. The functional is SCAN. Values from VASP.

* total DFT energy (no corrections): -16.9938 eV/atom
* DOS(E_F): 0.37 states/eV/cell
* space-group type: Pm-3m (221)
* crystal system: cubic

```
&SYSTEM
  ibrav = 0, nat = 5, ntyp = 3
/
ATOMIC_SPECIES
H 1.01 H.upf
Pd 106.42 Pd.upf
La 138.91 La.upf
CELL_PARAMETERS angstrom
-2.658 3.160 1.044
-3.305 -2.351 -1.300
-0.388 -1.621 3.919
ATOMIC_POSITIONS crystal
H 0.000 0.500 0.000
H 0.000 0.000 0.500
H 0.500 0.000 0.000
Pd 0.500 0.500 0.500
La 0.000 0.000 0.000
```


Entry 2:
This record from the Alexandria database describes a crystal of La2H2Pd relaxed with PBEsol. The functional is SCAN. Values from VASP.

* total DFT energy (no corrections): -25.9115 eV/atom
* DOS(E_F): 2.43 states/eV/cell
* space-group type: I4/mmm (139)
* crystal system: tetragonal

```
&SYSTEM
  ibrav = 0, nat = 5, ntyp = 3
/
ATOMIC_SPECIES
H 1.01 H.upf
Pd 106.42 Pd.upf
La 138.91 La.upf
CELL_PARAMETERS angstrom
-1.653 3.078 1.160
-1.582 0.394 -3.301
-3.540 -5.278 3.120
ATOMIC_POSITIONS crystal
H 0.250 0.750 0.500
H 0.750 0.250 0.500
Pd 0.000 0.000 0.000
La 0.364 0.364 0.727
La 0.636 0.636 0.273
```


Entry 3:
This record from the Alexandria database describes a crystal of SrLa2HPd relaxed with PBEsol. The functional is SCAN. Values from VASP.

* total DFT energy (no corrections): -27.7649 eV/atom
* DOS(E_F): 3.57 states/eV/cell
* space-group type: P4/mmm (123)
* crystal system: tetragonal

```
&SYSTEM
  ibrav = 0, nat = 5, ntyp = 4
/
ATOMIC_SPECIES
Sr 87.62 Sr.upf
H 1.01 H.upf
Pd 106.42 Pd.upf
La 138.91 La.upf
CELL_PARAMETERS angstrom
4.914 0.000 0.000
0.000 5.902 0.000
0.000 0.000 5.902
ATOMIC_POSITIONS crystal
Sr 0.000 0.000 0.000
H 0.500 0.500 0.500
Pd 0.500 0.000 0.000
La 0.000 0.000 0.500
La 0.000 0.500 0.000
```


Entry 4:
This record from the Alexandria database describes a crystal of LaHPt relaxed with PBEsol. The functional is SCAN. Values from VASP.

* total DFT energy (no corrections): -39.9661 eV/atom
* DOS(E_F): 2.87 states/eV/cell
* space-group type: C2/m (12)
* crystal system: monoclinic

```
&SYSTEM
  ibrav = 0, nat = 6, ntyp = 3
/
ATOMIC_SPECIES
H 1.01 H.upf
Pt 195.08 Pt.upf
La 138.91 La.upf
CELL_PARAMETERS angstrom
-0.259 4.048 -0.544
-3.608 0.132 2.692
3.871 -1.216 4.505
ATOMIC_POSITIONS crystal
H 0.308 0.491 0.618
H 0.692 0.509 0.382
Pt 0.582 0.232 0.165
Pt 0.418 0.768 0.835
La 0.131 0.757 0.261
La 0.869 0.243 0.739
```


Entry 5:
This record from the Alexandria database describes a crystal of La3HPt relaxed with PBEsol. The functional is SCAN. Values from VASP.

* total DFT energy (no corrections): -40.9980 eV/atom
* DOS(E_F): 7.21 states/eV/cell
* space-group type: Pm-3m (221)
* crystal system: cubic

```
&SYSTEM
  ibrav = 0, nat = 5, ntyp = 3
/
ATOMIC_SPECIES
H 1.01 H.upf
Pt 195.08 Pt.upf
La 138.91 La.upf
CELL_PARAMETERS angstrom
4.823 0.000 0.000
0.000 4.823 0.000
0.000 0.000 4.823
ATOMIC_POSITIONS crystal
H 0.000 0.000 0.000
Pt 0.500 0.500 0.500
La 0.000 0.500 0.000
La 0.000 0.000 0.500
La 0.500 0.000 0.000
```


Entry 6:
This record from the Alexandria database describes a crystal of La2HPt relaxed with PBEsol. The functional is SCAN. Values from VASP.

* total DFT energy (no corrections): -40.6958 eV/atom
* DOS(E_F): 2.93 states/eV/cell
* space-group type: Fm-3m (225)
* crystal system: cubic

```
&SYSTEM
  ibrav = 0, nat = 4, ntyp = 3
/
ATOMIC_SPECIES
H 1.01 H.upf
Pt 195.08 Pt.upf
La 138.91 La.upf
CELL_PARAMETERS angstrom
4.942 0.000 0.000
2.471 4.280 0.000
2.471 1.427 4.035
ATOMIC_POSITIONS crystal
H 0.000 0.000 0.000
Pt 0.500 0.500 0.500
La 0.250 0.250 0.250
La 0.750 0.750 0.750
```


Entry 7:
This record from the Alexandria database describes a crystal of RbLaH2 relaxed with PBEsol. The functional is SCAN. Values from VASP.

* total DFT energy (no corrections): -17.8267 eV/atom
* DOS(E_F): 3.68 states/eV/cell
* space-group type: I-42d (122)
* crystal system: tetragonal

```
&SYSTEM
  ibrav = 0, nat = 8, ntyp = 3
/
ATOMIC_SPECIES
H 1.01 H.upf
Rb 85.47 Rb.upf
La 138.91 La.upf
CELL_PARAMETERS angstrom
6.070 0.000 0.000
0.000 6.070 0.000
-3.035 -3.035 5.640
ATOMIC_POSITIONS crystal
H 0.265 0.875 0.250
H 0.985 0.375 0.250
H 0.125 0.015 0.750
H 0.625 0.735 0.750
Rb 0.750 0.250 0.500
Rb 0.500 0.500 0.000
La 0.250 0.750 0.500
La 0.000 0.000 0.000
```


Entry 8:
This record from the Alexandria database describes a crystal of LaH3Rh relaxed with PBEsol. The functional is SCAN. Values from VASP.

* total DFT energy (no corrections): -18.0918 eV/atom
* DOS(E_F): 2.25 states/eV/cell
* space-group type: Pm-3m (221)
* crystal system: cubic

```
&SYSTEM
  ibrav = 0, nat = 5, ntyp = 3
/
ATOMIC_SPECIES
H 1.01 H.upf
Rh 102.91 Rh.upf
La 138.91 La.upf
CELL_PARAMETERS angstrom
-3.159 1.170 -1.631
-0.366 -3.326 -1.677
-1.973 -1.256 2.922
ATOMIC_POSITIONS crystal
H 0.000 0.500 0.000
H 0.000 0.000 0.500
H 0.500 0.000 0.000
Rh 0.000 0.000 0.000
La 0.500 0.500 0.500
```


Entry 9:
This record from the Alexandria database describes a crystal of LaHRh2 relaxed with PBEsol. The functional is SCAN. Values from VASP.

* total DFT energy (no corrections): -29.0980 eV/atom
* DOS(E_F): 4.91 states/eV/cell
* space-group type: Fd-3m (227)
* crystal system: cubic

```
&SYSTEM
  ibrav = 0, nat = 8, ntyp = 3
/
ATOMIC_SPECIES
H 1.01 H.upf
Rh 102.91 Rh.upf
La 138.91 La.upf
CELL_PARAMETERS angstrom
5.549 0.000 0.000
2.774 4.805 0.000
2.774 1.602 4.531
ATOMIC_POSITIONS crystal
H 0.500 0.500 0.500
H 0.750 0.750 0.750
Rh 0.625 0.125 0.625
Rh 0.125 0.625 0.625
Rh 0.625 0.625 0.125
Rh 0.625 0.625 0.625
La 0.000 0.000 0.000
La 0.250 0.250 0.250
```


Entry 10:
This record from the Alexandria database describes a crystal of LaH3Rh relaxed with PBEsol. The functional is SCAN. Values from VASP.

* total DFT energy (no corrections): -16.9139 eV/atom
* DOS(E_F): 1.44 states/eV/cell
* space-group type: Pm-3m (221)
* crystal system: cubic

```
&SYSTEM
  ibrav = 0, nat = 5, ntyp = 3
/
ATOMIC_SPECIES
H 1.01 H.upf
Rh 102.91 Rh.upf
La 138.91 La.upf
CELL_PARAMETERS angstrom
4.178 0.000 0.000
0.000 4.178 0.000
0.000 0.000 4.178
ATOMIC_POSITIONS crystal
H 0.000 0.500 0.000
H 0.000 0.000 0.500
H 0.500 0.000 0.000
Rh 0.500 0.500 0.500
La 0.000 0.000 0.000
```


Entry 11:
This record from the Alexandria database describes a crystal of LaSnHRh2 relaxed with PBEsol. The functional is SCAN. Values from VASP.

* total DFT energy (no corrections): -29.6079 eV/atom
* DOS(E_F): 2.91 states/eV/cell
* space-group type: P4/mmm (123)
* crystal system: tetragonal

```
&SYSTEM
  ibrav = 0, nat = 5, ntyp = 4
/
ATOMIC_SPECIES
H 1.01 H.upf
Rh 102.91 Rh.upf
Sn 118.71 Sn.upf
La 138.91 La.upf
CELL_PARAMETERS angstrom
-2.188 1.243 -2.757
-0.356 -4.633 -1.806
-4.023 -0.796 2.834
ATOMIC_POSITIONS crystal
H 0.500 0.000 0.000
Rh 0.000 0.000 0.500
Rh 0.000 0.500 0.000
Sn 0.500 0.500 0.500
La 0.000 0.000 0.000
```


Entry 12:
This record from the Alexandria database describes a crystal of LaZrH2Rh relaxed with PBEsol. The functional is SCAN. Values from VASP.

* total DFT energy (no corrections): -23.3017 eV/atom
* DOS(E_F): 2.94 states/eV/cell
* space-group type: P4/mmm (123)
* crystal system: tetragonal

```
&SYSTEM
  ibrav = 0, nat = 5, ntyp = 4
/
ATOMIC_SPECIES
H 1.01 H.upf
Rh 102.91 Rh.upf
Zr 91.22 Zr.upf
La 138.91 La.upf
CELL_PARAMETERS angstrom
-1.626 1.485 3.364
-3.545 -1.613 -1.001
1.251 -4.302 2.504
ATOMIC_POSITIONS crystal
H 0.000 0.500 0.000
H 0.500 0.000 0.000
Rh 0.000 0.000 0.500
Zr 0.000 0.000 0.000
La 0.500 0.500 0.500
```


Entry 13:
This record from the Alexandria database describes a crystal of La3HRu relaxed with PBEsol. The functional is SCAN. Values from VASP.

* total DFT energy (no corrections): -33.4390 eV/atom
* DOS(E_F): 5.81 states/eV/cell
* space-group type: Pm-3m (221)
* crystal system: cubic

```
&SYSTEM
  ibrav = 0, nat = 5, ntyp = 3
/
ATOMIC_SPECIES
Ru 101.07 Ru.upf
H 1.01 H.upf
La 138.91 La.upf
CELL_PARAMETERS angstrom
4.777 0.000 0.000
0.000 4.777 0.000
0.000 0.000 4.777
ATOMIC_POSITIONS crystal
Ru 0.500 0.500 0.500
H 0.000 0.000 0.000
La 0.000 0.500 0.000
La 0.000 0.000 0.500
La 0.500 0.000 0.000
```


Entry 14:
This record from the Alexandria database describes a crystal of LaH3Ru relaxed with PBEsol. The functional is SCAN. Values from VASP.

* total DFT energy (no corrections): -18.1448 eV/atom
* DOS(E_F): 2.25 states/eV/cell
* space-group type: Pm-3m (221)
* crystal system: cubic

```
&SYSTEM
  ibrav = 0, nat = 5, ntyp = 3
/
ATOMIC_SPECIES
Ru 101.07 Ru.upf
La 138.91 La.upf
H 1.01 H.upf
CELL_PARAMETERS angstrom
3.721 0.000 0.000
0.000 3.721 0.000
0.000 0.000 3.721
ATOMIC_POSITIONS crystal
Ru 0.000 0.000 0.000
La 0.500 0.500 0.500
H 0.000 0.500 0.000
H 0.000 0.000 0.500
H 0.500 0.000 0.000
```


Entry 15:
This record from the Alexandria database describes a crystal of La2TeHRu relaxed with PBEsol. The functional is SCAN. Values from VASP.

* total DFT energy (no corrections): -31.8633 eV/atom
* DOS(E_F): 3.77 states/eV/cell
* space-group type: P4/mmm (123)
* crystal system: tetragonal

```
&SYSTEM
  ibrav = 0, nat = 5, ntyp = 4
/
ATOMIC_SPECIES
Ru 101.07 Ru.upf
Te 127.60 Te.upf
H 1.01 H.upf
La 138.91 La.upf
CELL_PARAMETERS angstrom
4.713 0.000 0.000
0.000 5.926 0.000
0.000 0.000 5.926
ATOMIC_POSITIONS crystal
Ru 0.500 0.000 0.000
Te 0.000 0.000 0.000
H 0.500 0.500 0.500
La 0.000 0.000 0.500
La 0.000 0.500 0.000
```


Entry 16:
This record from the Alexandria database describes a crystal of La2SbH2 relaxed with PBEsol. The functional is SCAN. Values from VASP.

* total DFT energy (no corrections): -27.0509 eV/atom
* DOS(E_F): 1.88 states/eV/cell
* space-group type: I4/mmm (139)
* crystal system: tetragonal

```
&SYSTEM
  ibrav = 0, nat = 5, ntyp = 3
/
ATOMIC_SPECIES
Sb 121.76 Sb.upf
La 138.91 La.upf
H 1.01 H.upf
CELL_PARAMETERS angstrom
-3.429 -0.086 2.155
1.739 -2.506 2.667
2.757 6.063 0.822
ATOMIC_POSITIONS crystal
Sb 0.000 0.000 0.000
La 0.358 0.358 0.716
La 0.642 0.642 0.284
H 0.250 0.750 0.500
H 0.750 0.250 0.500
```


Entry 17:
This record from the Alexandria database describes a crystal of LaSb2TeH relaxed with PBEsol. The functional is SCAN. Values from VASP.

* total DFT energy (no corrections): -30.9170 eV/atom
* DOS(E_F): 5.03 states/eV/cell
* space-group type: P4/mmm (123)
* crystal system: tetragonal

```
&SYSTEM
  ibrav = 0, nat = 5, ntyp = 4
/
ATOMIC_SPECIES
Sb 121.76 Sb.upf
Te 127.60 Te.upf
H 1.01 H.upf
La 138.91 La.upf
CELL_PARAMETERS angstrom
-3.046 1.798 -4.895
-4.385 -3.990 1.263
-2.858 4.192 3.318
ATOMIC_POSITIONS crystal
Sb 0.000 0.000 0.500
Sb 0.000 0.500 0.000
Te 0.500 0.000 0.000
H 0.500 0.500 0.500
La 0.000 0.000 0.000
```


Entry 18:
This record from the Alexandria database describes a crystal of LaScH3 relaxed with PBEsol. The functional is SCAN. Values from VASP.

* total DFT energy (no corrections): -13.4936 eV/atom
* DOS(E_F): 3.27 states/eV/cell
* space-group type: Pm-3m (221)
* crystal system: cubic

```
&SYSTEM
  ibrav = 0, nat = 5, ntyp = 3
/
ATOMIC_SPECIES
Sc 44.96 Sc.upf
H 1.01 H.upf
La 138.91 La.upf
CELL_PARAMETERS angstrom
-2.003 -1.262 3.577
3.004 -2.998 0.624
2.316 2.797 2.284
ATOMIC_POSITIONS crystal
Sc 0.500 0.500 0.500
H 0.000 0.500 0.000
H 0.000 0.000 0.500
H 0.500 0.000 0.000
La 0.000 0.000 0.000
```


Entry 19:
This record from the Alexandria database describes a crystal of La3ScH relaxed with PBEsol. The functional is SCAN. Values from VASP.

* total DFT energy (no corrections): -29.5515 eV/atom
* DOS(E_F): 5.42 states/eV/cell
* space-group type: Pm-3m (221)
* crystal system: cubic

```
&SYSTEM
  ibrav = 0, nat = 5, ntyp = 3
/
ATOMIC_SPECIES
Sc 44.96 Sc.upf
H 1.01 H.upf
La 138.91 La.upf
CELL_PARAMETERS angstrom
5.053 0.000 0.000
0.000 5.053 0.000
0.000 0.000 5.053
ATOMIC_POSITIONS crystal
Sc 0.500 0.500 0.500
H 0.000 0.000 0.000
La 0.000 0.500 0.000
La 0.000 0.000 0.500
La 0.500 0.000 0.000
```


Entry 20:
This record from the Alexandria database describes a crystal of SrLaSc2H relaxed with PBEsol. The functional is SCAN. Values from VASP.

* total DFT energy (no corrections): -17.7417 eV/atom
* DOS(E_F): 4.22 states/eV/cell
* space-group type: P4/mmm (123)
* crystal system: tetragonal

```
&SYSTEM
  ibrav = 0, nat = 5, ntyp = 4
/
ATOMIC_SPECIES
Sc 44.96 Sc.upf
Sr 87.62 Sr.upf
H 1.01 H.upf
La 138.91 La.upf
CELL_PARAMETERS angstrom
-1.622 4.938 -0.013
-0.129 -0.056 -5.196
-5.562 -1.827 0.158
ATOMIC_POSITIONS crystal
Sc 0.000 0.500 0.000
Sc 0.500 0.000 0.000
Sr 0.000 0.000 0.000
H 0.500 0.500 0.500
La 0.000 0.000 0.500
```